The following is a DFT calculation (PBE) of CdCuPdPt after structural relaxation.

Cell: 4.125 4.125 7.399 Å, 90.00 90.00 90.00°
Space group I-4m2 (No. 119)
Symmetry-distinct sites (fractional):
Cd  0.000  0.000  0.000
Cu  0.000  0.000  0.500
Pd  0.000  0.500  0.250
Pt  0.000  0.500  0.750

Calculated values
Formation enthalpy at 0 K = -0.234 eV/atom

The following is a DFT calculation (PBE) of Cd2CuPdPt after structural relaxation.

Cell: 5.107 5.107 4.713 Å, 90.00 90.00 90.00°
Space group P4/mmm (No. 123)
Symmetry-distinct sites (fractional):
Cd  0.000  0.500  0.000
Cu  0.000  0.000  0.500
Pd  0.500  0.500  0.500
Pt  0.000  0.000  0.000

Calculated values
Energy above the lowest structure with this stoichiometry = 0 meV per atom
Formation enthalpy at 0 K = 0.498 eV/atom